Run 1
{
  "formula": "Li3Pb4",
  "functional": "PBE",
  "state": "optimized geometry",
  "mass_density_g_cm3": 8.24,
  "crystal_system": "trigonal",
  "magnetic_moment_mub_per_atom": 0.000,
  "lattice_angstrom": [[6.7615, 3.9038, 2.1629], [-6.7615, 3.9038, 2.1629], [0.0000, -7.8075, 2.1629]],
  "species": ["Li", "Li", "Li", "Li", "Li", "Li", "Pb", "Pb", "Pb", "Pb", "Pb", "Pb", "Pb", "Pb"],
  "fractional_positions": [[0.0405, 0.6207, 0.7503], [0.2497, 0.9595, 0.3793], [0.3793, 0.2497, 0.9595], [0.6207, 0.7503, 0.0405], [0.7503, 0.0405, 0.6207], [0.9595, 0.3793, 0.2497], [0.0000, 0.0000, 0.0000], [0.1075, 0.2563, 0.5592], [0.2563, 0.5592, 0.1075], [0.4408, 0.8925, 0.7437], [0.5000, 0.5000, 0.5000], [0.5592, 0.1075, 0.2563], [0.7437, 0.4408, 0.8925], [0.8925, 0.7437, 0.4408]]
}

---

Run 2
{
  "formula": "Li3Pb4",
  "functional": "PBE",
  "state": "optimized geometry",
  "mass_density_g_cm3": 7.93,
  "crystal_system": "tetragonal",
  "magnetic_moment_mub_per_atom": 0.000,
  "lattice_angstrom": [[-2.0173, 2.0173, 10.9309], [2.0173, -2.0173, 10.9309], [2.0173, 2.0173, -10.9309]],
  "species": ["Li", "Li", "Li", "Pb", "Pb", "Pb", "Pb"],
  "fractional_positions": [[0.0000, 0.0000, 0.0000], [0.2860, 0.2860, 0.0000], [0.7140, 0.7140, 0.0000], [0.1507, 0.1507, 0.0000], [0.4257, 0.4257, 0.0000], [0.5743, 0.5743, 0.0000], [0.8493, 0.8493, 0.0000]]
}

---

It is run 2 that is the least stable of them.

---

Run 1
{
  "formula": "Li3Pb7",
  "functional": "PBE",
  "state": "optimized geometry",
  "mass_density_g_cm3": 9.22,
  "crystal_system": "hexagonal",
  "magnetic_moment_mub_per_atom": 0.000,
  "lattice_angstrom": [[9.3883, 0.0000, 0.0000], [-4.6942, 8.1305, 0.0000], [0.0000, 0.0000, 6.9461]],
  "species": ["Li", "Li", "Li", "Li", "Li", "Li", "Pb", "Pb", "Pb", "Pb", "Pb", "Pb", "Pb", "Pb", "Pb", "Pb", "Pb", "Pb", "Pb", "Pb"],
  "fractional_positions": [[0.2113, 0.4226, 0.0000], [0.2113, 0.7887, 0.0000], [0.4226, 0.2113, 0.5000], [0.5774, 0.7887, 0.0000], [0.7887, 0.2113, 0.5000], [0.7887, 0.5774, 0.5000], [0.0629, 0.5314, 0.6868], [0.1225, 0.2449, 0.4239], [0.1225, 0.8775, 0.4239], [0.2449, 0.1225, 0.9239], [0.3333, 0.6667, 0.3192], [0.4686, 0.5314, 0.6868], [0.4686, 0.9371, 0.6868], [0.5314, 0.0629, 0.1868], [0.5314, 0.4686, 0.1868], [0.6667, 0.3333, 0.8192], [0.7551, 0.8775, 0.4239], [0.8775, 0.1225, 0.9239], [0.8775, 0.7551, 0.9239], [0.9371, 0.4686, 0.1868]]
}

---

Run 2
{
  "formula": "Li3Pb7",
  "functional": "PBE",
  "state": "optimized geometry",
  "mass_density_g_cm3": 8.98,
  "crystal_system": "monoclinic",
  "magnetic_moment_mub_per_atom": 0.000,
  "lattice_angstrom": [[8.3774, -2.4265, 0.0000], [8.3774, 2.4265, 0.0000], [-1.5883, 0.0000, 6.6900]],
  "species": ["Li", "Li", "Li", "Pb", "Pb", "Pb", "Pb", "Pb", "Pb", "Pb"],
  "fractional_positions": [[0.0000, 0.0000, 0.0000], [0.1924, 0.1924, 0.6202], [0.8076, 0.8076, 0.3798], [0.0000, 0.0000, 0.5000], [0.2013, 0.2013, 0.1242], [0.3855, 0.3855, 0.6674], [0.4085, 0.4085, 0.1685], [0.5915, 0.5915, 0.8315], [0.6145, 0.6145, 0.3326], [0.7987, 0.7987, 0.8758]]
}

---

It is run 1 that is the least stable of them.

---

Run 1
{
  "formula": "LiPb4",
  "functional": "PBE",
  "state": "optimized geometry",
  "mass_density_g_cm3": 9.45,
  "crystal_system": "cubic",
  "magnetic_moment_mub_per_atom": 0.000,
  "lattice_angstrom": [[5.2753, 0.0000, 0.0000], [0.0000, 5.2753, 0.0000], [0.0000, 0.0000, 5.2753]],
  "species": ["Li", "Pb", "Pb", "Pb", "Pb"],
  "fractional_positions": [[0.0000, 0.0000, 0.0000], [0.0000, 0.0000, 0.5000], [0.0000, 0.5000, 0.0000], [0.5000, 0.0000, 0.0000], [0.5000, 0.5000, 0.5000]]
}

---

Run 2
{
  "formula": "LiPb4",
  "functional": "PBE",
  "state": "optimized geometry",
  "mass_density_g_cm3": 9.75,
  "crystal_system": "tetragonal",
  "magnetic_moment_mub_per_atom": 0.000,
  "lattice_angstrom": [[6.7281, 0.0000, 0.0000], [0.0000, 6.7281, 0.0000], [0.0000, 0.0000, 6.2905]],
  "species": ["Li", "Li", "Pb", "Pb", "Pb", "Pb", "Pb", "Pb", "Pb", "Pb"],
  "fractional_positions": [[0.2500, 0.2500, 0.0000], [0.7500, 0.7500, 0.0000], [0.0708, 0.5708, 0.2642], [0.0708, 0.9292, 0.7358], [0.4292, 0.5708, 0.7358], [0.4292, 0.9292, 0.2642], [0.5708, 0.0708, 0.7358], [0.5708, 0.4292, 0.2642], [0.9292, 0.0708, 0.2642], [0.9292, 0.4292, 0.7358]]
}

---

It is run 1 that is the least stable of them.

---

Run 1
{
  "formula": "Li2Pb3",
  "functional": "PBE",
  "state": "optimized geometry",
  "mass_density_g_cm3": 8.48,
  "crystal_system": "tetragonal",
  "magnetic_moment_mub_per_atom": 0.000,
  "lattice_angstrom": [[3.3667, 0.0000, 0.0000], [0.0000, 3.3667, 0.0000], [0.0000, 0.0000, 21.9667]],
  "species": ["Li", "Li", "Li", "Li", "Pb", "Pb", "Pb", "Pb", "Pb", "Pb"],
  "fractional_positions": [[0.0000, 0.0000, 0.0945], [0.0000, 0.0000, 0.2794], [0.0000, 0.0000, 0.7206], [0.0000, 0.0000, 0.9055], [0.0000, 0.0000, 0.5000], [0.5000, 0.5000, 0.0000], [0.5000, 0.5000, 0.1878], [0.5000, 0.5000, 0.3760], [0.5000, 0.5000, 0.6240], [0.5000, 0.5000, 0.8122]]
}

---

Run 2
{
  "formula": "Li2Pb3",
  "functional": "PBE",
  "state": "optimized geometry",
  "mass_density_g_cm3": 8.01,
  "crystal_system": "trigonal",
  "magnetic_moment_mub_per_atom": 0.000,
  "lattice_angstrom": [[3.3254, 1.9199, 3.4381], [-3.3254, 1.9199, 3.4381], [0.0000, -3.8399, 3.4381]],
  "species": ["Li", "Li", "Pb", "Pb", "Pb"],
  "fractional_positions": [[0.1237, 0.1237, 0.1237], [0.8763, 0.8763, 0.8763], [0.0000, 0.5000, 0.5000], [0.5000, 0.0000, 0.5000], [0.5000, 0.5000, 0.0000]]
}

---

Run 3
{
  "formula": "Li2Pb3",
  "functional": "PBE",
  "state": "optimized geometry",
  "mass_density_g_cm3": 8.49,
  "crystal_system": "orthorhombic",
  "magnetic_moment_mub_per_atom": 0.000,
  "lattice_angstrom": [[0.0000, 2.5949, 9.2669], [2.5840, 0.0000, 9.2669], [2.5840, 2.5949, 0.0000]],
  "species": ["Li", "Li", "Pb", "Pb", "Pb"],
  "fractional_positions": [[0.0875, 0.0875, 0.9125], [0.9125, 0.9125, 0.0875], [0.3116, 0.3116, 0.6884], [0.5000, 0.5000, 0.5000], [0.6884, 0.6884, 0.3116]]
}

---

It is run 2 that is the least stable of them.

---

Run 1
{
  "formula": "Li2Pd8Pb",
  "functional": "PBE",
  "state": "optimized geometry",
  "mass_density_g_cm3": 10.18,
  "crystal_system": "orthorhombic",
  "magnetic_moment_mub_per_atom": 0.000,
  "lattice_angstrom": [[-2.0919, 3.4063, 6.1398], [2.0919, -3.4063, 6.1398], [2.0919, 3.4063, -6.1398]],
  "species": ["Li", "Li", "Pd", "Pd", "Pd", "Pd", "Pd", "Pd", "Pd", "Pd", "Pb"],
  "fractional_positions": [[0.1976, 0.1976, 0.0000], [0.8024, 0.8024, 0.0000], [0.0530, 0.3405, 0.7125], [0.1939, 0.0000, 0.1939], [0.3454, 0.8454, 0.5000], [0.3720, 0.6595, 0.7125], [0.6280, 0.3405, 0.2875], [0.6546, 0.1546, 0.5000], [0.8061, 0.0000, 0.8061], [0.9470, 0.6595, 0.2875], [0.5000, 0.5000, 0.0000]]
}

---

Run 2
{
  "formula": "Li2Pd8Pb",
  "functional": "PBE",
  "state": "optimized geometry",
  "mass_density_g_cm3": 10.35,
  "crystal_system": "monoclinic",
  "magnetic_moment_mub_per_atom": 0.000,
  "lattice_angstrom": [[7.0569, -2.0406, 0.0000], [7.0569, 2.0406, 0.0000], [-1.7174, 0.0000, 5.9726]],
  "species": ["Li", "Li", "Pd", "Pd", "Pd", "Pd", "Pd", "Pd", "Pd", "Pd", "Pb"],
  "fractional_positions": [[0.2261, 0.2261, 0.1452], [0.7739, 0.7739, 0.8548], [0.0481, 0.0481, 0.2240], [0.1451, 0.1451, 0.7031], [0.3157, 0.3157, 0.5819], [0.4029, 0.4029, 0.0343], [0.5971, 0.5971, 0.9657], [0.6843, 0.6843, 0.4181], [0.8549, 0.8549, 0.2969], [0.9519, 0.9519, 0.7760], [0.5000, 0.5000, 0.5000]]
}

---

It is run 1 that is the least stable of them.

---

Run 1
{
  "formula": "LiPd4Pb",
  "functional": "PBE",
  "state": "optimized geometry",
  "mass_density_g_cm3": 10.82,
  "crystal_system": "monoclinic",
  "magnetic_moment_mub_per_atom": 0.000,
  "lattice_angstrom": [[4.5887, -1.9800, 0.0000], [4.5887, 1.9800, 0.0000], [-1.9140, 0.0000, 5.4050]],
  "species": ["Li", "Pd", "Pd", "Pd", "Pd", "Pb"],
  "fractional_positions": [[0.0000, 0.0000, 0.0000], [0.3296, 0.3296, 0.1617], [0.3397, 0.3397, 0.6798], [0.6603, 0.6603, 0.3202], [0.6704, 0.6704, 0.8383], [0.0000, 0.0000, 0.5000]]
}

---

Run 2
{
  "formula": "LiPd4Pb",
  "functional": "PBE",
  "state": "optimized geometry",
  "mass_density_g_cm3": 10.79,
  "crystal_system": "monoclinic",
  "magnetic_moment_mub_per_atom": 0.000,
  "lattice_angstrom": [[2.4014, -4.4563, 0.0000], [2.4014, 4.4563, 0.0000], [-1.2946, 0.0000, 4.6016]],
  "species": ["Li", "Pd", "Pd", "Pd", "Pd", "Pb"],
  "fractional_positions": [[0.0000, 0.0000, 0.0000], [0.1624, 0.8376, 0.5000], [0.3339, 0.6661, 0.0000], [0.6661, 0.3339, 0.0000], [0.8376, 0.1624, 0.5000], [0.5000, 0.5000, 0.5000]]
}

---

Run 3
{
  "formula": "LiPd4Pb",
  "functional": "PBE",
  "state": "optimized geometry",
  "mass_density_g_cm3": 9.82,
  "crystal_system": "cubic",
  "magnetic_moment_mub_per_atom": 0.000,
  "lattice_angstrom": [[0.0000, 3.7823, 3.7823], [3.7823, 0.0000, 3.7823], [3.7823, 3.7823, 0.0000]],
  "species": ["Li", "Pd", "Pd", "Pd", "Pd", "Pb"],
  "fractional_positions": [[0.0000, 0.0000, 0.0000], [0.1247, 0.6251, 0.6251], [0.6251, 0.1247, 0.6251], [0.6251, 0.6251, 0.1247], [0.6251, 0.6251, 0.6251], [0.2500, 0.2500, 0.2500]]
}

---

It is run 3 that is the least stable of them.

---

Run 1
{
  "formula": "LiPd3Pb2",
  "functional": "PBE",
  "state": "optimized geometry",
  "mass_density_g_cm3": 11.06,
  "crystal_system": "orthorhombic",
  "magnetic_moment_mub_per_atom": 0.000,
  "lattice_angstrom": [[2.3744, -7.0776, 0.0000], [2.3744, 7.0776, 0.0000], [0.0000, 0.0000, 6.6185]],
  "species": ["Li", "Li", "Pd", "Pd", "Pd", "Pd", "Pd", "Pd", "Pb", "Pb", "Pb", "Pb"],
  "fractional_positions": [[0.1651, 0.8349, 0.0000], [0.8349, 0.1651, 0.0000], [0.0000, 0.0000, 0.2297], [0.0000, 0.0000, 0.7703], [0.3242, 0.6758, 0.2234], [0.3242, 0.6758, 0.7766], [0.6758, 0.3242, 0.2234], [0.6758, 0.3242, 0.7766], [0.1654, 0.8346, 0.5000], [0.5000, 0.5000, 0.0000], [0.5000, 0.5000, 0.5000], [0.8346, 0.1654, 0.5000]]
}

---

Run 2
{
  "formula": "LiPd3Pb2",
  "functional": "PBE",
  "state": "optimized geometry",
  "mass_density_g_cm3": 10.71,
  "crystal_system": "monoclinic",
  "magnetic_moment_mub_per_atom": 0.000,
  "lattice_angstrom": [[5.3936, -2.8212, 0.0000], [5.3936, 2.8212, 0.0000], [-3.0492, 0.0000, 7.5495]],
  "species": ["Li", "Li", "Pd", "Pd", "Pd", "Pd", "Pd", "Pd", "Pb", "Pb", "Pb", "Pb"],
  "fractional_positions": [[0.2090, 0.7910, 0.7500], [0.7910, 0.2090, 0.2500], [0.1252, 0.1487, 0.5674], [0.1487, 0.1252, 0.0674], [0.2751, 0.7249, 0.2500], [0.7249, 0.2751, 0.7500], [0.8513, 0.8748, 0.9326], [0.8748, 0.8513, 0.4326], [0.3197, 0.3419, 0.9137], [0.3419, 0.3197, 0.4137], [0.6581, 0.6803, 0.5863], [0.6803, 0.6581, 0.0863]]
}

---

It is run 1 that is the least stable of them.

---

Run 1
{
  "formula": "Li6Pd2Pb",
  "functional": "PBE",
  "state": "optimized geometry",
  "mass_density_g_cm3": 5.43,
  "crystal_system": "trigonal",
  "magnetic_moment_mub_per_atom": 0.000,
  "lattice_angstrom": [[3.8313, 2.2120, 2.7758], [-3.8313, 2.2120, 2.7758], [0.0000, -4.4240, 2.7758]],
  "species": ["Li", "Li", "Li", "Li", "Li", "Li", "Pd", "Pd", "Pb"],
  "fractional_positions": [[0.0000, 0.3267, 0.6733], [0.0000, 0.6733, 0.3267], [0.3267, 0.0000, 0.6733], [0.3267, 0.6733, 0.0000], [0.6733, 0.0000, 0.3267], [0.6733, 0.3267, 0.0000], [0.1616, 0.1616, 0.1616], [0.8384, 0.8384, 0.8384], [0.5000, 0.5000, 0.5000]]
}

---

Run 2
{
  "formula": "Li6Pd2Pb",
  "functional": "PBE",
  "state": "optimized geometry",
  "mass_density_g_cm3": 5.25,
  "crystal_system": "monoclinic",
  "magnetic_moment_mub_per_atom": 0.000,
  "lattice_angstrom": [[6.8327, -3.6986, 0.0000], [6.8327, 3.6986, 0.0000], [-0.5953, 0.0000, 2.8919]],
  "species": ["Li", "Li", "Li", "Li", "Li", "Li", "Pd", "Pd", "Pb"],
  "fractional_positions": [[0.1420, 0.5101, 0.8312], [0.1585, 0.8415, 0.0000], [0.4899, 0.8580, 0.1688], [0.5101, 0.1420, 0.8312], [0.8415, 0.1585, 0.0000], [0.8580, 0.4899, 0.1688], [0.1519, 0.1519, 0.6415], [0.8481, 0.8481, 0.3585], [0.5000, 0.5000, 0.5000]]
}

---

It is run 2 that is the least stable of them.

---

Run 1
{
  "formula": "Li2Pd4Pb3",
  "functional": "PBE",
  "state": "optimized geometry",
  "mass_density_g_cm3": 10.20,
  "crystal_system": "monoclinic",
  "magnetic_moment_mub_per_atom": 0.000,
  "lattice_angstrom": [[6.0939, -5.4758, 0.0000], [6.0939, 5.4758, 0.0000], [-0.7359, 0.0000, 5.1785]],
  "species": ["Li", "Li", "Li", "Li", "Pd", "Pd", "Pd", "Pd", "Pd", "Pd", "Pd", "Pd", "Pb", "Pb", "Pb", "Pb", "Pb", "Pb"],
  "fractional_positions": [[0.0127, 0.3548, 0.0616], [0.3548, 0.0127, 0.5616], [0.6452, 0.9873, 0.4384], [0.9873, 0.6452, 0.9384], [0.1305, 0.2643, 0.5917], [0.2643, 0.1305, 0.0917], [0.3137, 0.4714, 0.9501], [0.4714, 0.3137, 0.4501], [0.5286, 0.6863, 0.5499], [0.6863, 0.5286, 0.0499], [0.7357, 0.8695, 0.9083], [0.8695, 0.7357, 0.4083], [0.0691, 0.9309, 0.7500], [0.2072, 0.5703, 0.4455], [0.4297, 0.7928, 0.0545], [0.5703, 0.2072, 0.9455], [0.7928, 0.4297, 0.5545], [0.9309, 0.0691, 0.2500]]
}

---

Run 2
{
  "formula": "Li2Pd4Pb3",
  "functional": "PBE",
  "state": "optimized geometry",
  "mass_density_g_cm3": 10.58,
  "crystal_system": "triclinic",
  "magnetic_moment_mub_per_atom": 0.000,
  "lattice_angstrom": [[4.2155, 0.0000, 0.0000], [2.1003, 4.6387, 0.0000], [0.0042, 2.4376, 8.5204]],
  "species": ["Li", "Li", "Pd", "Pd", "Pd", "Pd", "Pb", "Pb", "Pb"],
  "fractional_positions": [[0.1640, 0.1710, 0.2098], [0.8360, 0.8290, 0.7902], [0.1636, 0.1729, 0.9037], [0.4933, 0.5138, 0.6742], [0.5067, 0.4862, 0.3258], [0.8364, 0.8271, 0.0963], [0.1665, 0.1668, 0.5883], [0.5000, 0.5000, 0.0000], [0.8335, 0.8332, 0.4117]]
}

---

It is run 1 that is the least stable of them.

---

Run 1
{
  "formula": "LiPd2Pb6",
  "functional": "PBE",
  "state": "optimized geometry",
  "mass_density_g_cm3": 10.58,
  "crystal_system": "monoclinic",
  "magnetic_moment_mub_per_atom": 0.000,
  "lattice_angstrom": [[6.7114, -2.2002, 0.0000], [6.7114, 2.2002, 0.0000], [-5.5399, 0.0000, 7.7773]],
  "species": ["Li", "Pd", "Pd", "Pb", "Pb", "Pb", "Pb", "Pb", "Pb"],
  "fractional_positions": [[0.0000, 0.0000, 0.0000], [0.4130, 0.4130, 0.7556], [0.5870, 0.5870, 0.2444], [0.0167, 0.0167, 0.6824], [0.2732, 0.2732, 0.3764], [0.3277, 0.3277, 0.9703], [0.6723, 0.6723, 0.0297], [0.7268, 0.7268, 0.6236], [0.9833, 0.9833, 0.3176]]
}

---

Run 2
{
  "formula": "LiPd2Pb6",
  "functional": "PBE",
  "state": "optimized geometry",
  "mass_density_g_cm3": 10.56,
  "crystal_system": "monoclinic",
  "magnetic_moment_mub_per_atom": 0.000,
  "lattice_angstrom": [[7.2372, 0.0000, 0.0000], [0.0000, 7.1702, 0.0000], [-5.2430, 0.0000, 8.8701]],
  "species": ["Li", "Li", "Pd", "Pd", "Pd", "Pd", "Pb", "Pb", "Pb", "Pb", "Pb", "Pb", "Pb", "Pb", "Pb", "Pb", "Pb", "Pb"],
  "fractional_positions": [[0.0000, 0.0000, 0.0000], [0.0000, 0.5000, 0.5000], [0.1978, 0.1526, 0.7330], [0.1978, 0.3474, 0.2330], [0.8022, 0.6526, 0.7670], [0.8022, 0.8474, 0.2670], [0.1157, 0.1351, 0.4276], [0.1157, 0.3649, 0.9276], [0.3011, 0.6877, 0.4307], [0.3011, 0.8123, 0.9307], [0.4392, 0.0112, 0.2669], [0.4392, 0.4888, 0.7669], [0.5608, 0.5112, 0.2331], [0.5608, 0.9888, 0.7331], [0.6989, 0.1877, 0.0693], [0.6989, 0.3123, 0.5693], [0.8843, 0.6351, 0.0724], [0.8843, 0.8649, 0.5724]]
}

---

It is run 2 that is the least stable of them.